[1]
Density functional theory data (PBE) for a relaxed structure of CdRh2Pb2.

Lattice parameters (Å, degrees): 3.824 3.824 8.666 77.25 77.25 90.00
Fractional coordinates of all 5 atoms:
1 Pb 0.374 0.374 0.251
2 Pb 0.626 0.626 0.749
3 Rh 0.750 0.250 0.500
4 Rh 0.250 0.750 0.500
5 Cd 0.000 0.000 0.000

Properties
Total DFT energy (no corrections), eV for the cell shown: -22.20
Crystal system: tetragonal
Calculated density, Mg/m³: 10.11
Total moment, μB/cell: 0.000

---

[2]
Density functional theory data (PBE) for a relaxed structure of LaTaP2Ru.

Lattice parameters (Å, degrees): 3.926 3.926 6.782 106.82 106.82 90.00
Fractional coordinates of all 5 atoms:
1 La 0.000 0.000 0.000
2 Ta 0.250 0.750 0.500
3 P 0.627 0.627 0.254
4 P 0.373 0.373 0.746
5 Ru 0.750 0.250 0.500

Properties
Total DFT energy (no corrections), eV for the cell shown: -41.28
Crystal system: tetragonal
Calculated density, Mg/m³: 8.41
Total moment, μB/cell: 0.000

---

[3]
Density functional theory data (PBE) for a relaxed structure of UMo2S5.

Lattice parameters (Å, degrees): 5.354 8.237 6.453 75.17 65.49 51.91
Each line ends with the local moment (μB).
Fractional coordinates of all 8 atoms:
1 U 0.500 0.500 0.500  1.47
2 Mo 0.793 0.500 0.914  0.04
3 Mo 0.207 0.500 0.086  0.04
4 S 0.259 0.748 0.840  -0.02
5 S 0.599 0.748 0.160  -0.02
6 S 0.000 0.500 0.500  -0.04
7 S 0.741 0.252 0.160  -0.02
8 S 0.401 0.252 0.840  -0.02

Properties
Crystal system: monoclinic
Uncorrected formation energy, eV per atom: -0.715
Calculated density, Mg/m³: 4.81
Total moment, μB/cell: 1.531